1.
CaTm3H: relaxed, PBE-GGA.

Unit cell a=4.9885 b=4.9885 c=4.9885 alpha=90.00 beta=90.00 gamma=90.00
With the nearest neighbours (Å) after each atom.
Space group Pm-3m (No. 221)
One atom of each set of equivalent atoms:
Ca (0.0000, 0.0000, 0.0000) x1  12 Tm 3.53
Tm (0.0000, 0.5000, 0.5000) x3  2 H 2.49
H (0.5000, 0.5000, 0.5000) x1  6 Tm 2.49


2.
CaTmH2: relaxed, PBE-GGA.

Unit cell a=3.6329 b=3.6329 c=18.2349 alpha=90.00 beta=90.00 gamma=120.00
With the nearest neighbours (Å) after each atom.
Space group R3m (No. 160, hexagonal axes)
One atom of each set of equivalent atoms:
Ca (0.0000, 0.0000, 0.0000) x3  4 H 2.44-2.60
Tm (0.0000, 0.0000, 0.1844) x3  3 H 2.12
H (0.0000, 0.0000, 0.5827) x3  3 H 2.28, 3 Tm 2.41
H (0.0000, 0.0000, 0.8663) x3  3 Tm 2.12, 3 H 2.28


Number 1: E_tot -18.955 eV per formula unit, DOS at the Fermi energy 6.9 states/eV per cell. Number 2: E_tot -14.280 eV per formula unit, DOS at the Fermi energy 2.9 states/eV per cell.